SmPd4Pt2 after structural relaxation. Source: the Alexandria database, functional PBE.

## Properties
Formation energy from the elements = -523 meV per atom
Uncorrected energy = -5.891 eV per atom
Density of states at the Fermi level = 11.8 states/eV/cell

a b c (Å): 8.6179 6.7766 5.3479
angles (deg): 90.00 128.10 90.00
Closest atoms and distances in Å follow each position.
Space group C2/m (No. 12)
Symmetry-distinct sites (fractional):
Sm 0.0000 0.0000 0.0000 (multiplicity 2)  4 Pd 2.84
Pd 0.2035 0.2036 0.7034 (multiplicity 8)  4 Pd 2.76-2.82, 4 Pt 2.78, 1 Sm 2.84
Pt 0.9998 0.5000 0.2499 (multiplicity 4)  2 Pt 2.67, 8 Pd 2.78


RbTl3Ge after structural relaxation. Source: the Alexandria database, functional PBE.

## Properties
Formation energy from the elements = 114 meV per atom
Uncorrected energy = -2.423 eV per atom
Density of states at the Fermi level = 2.4 states/eV/cell
Relative energy among the computed polymorphs = 117 meV per atom

a b c (Å): 5.7944 5.7944 5.7944
angles (deg): 90.00 90.00 90.00
Closest atoms and distances in Å follow each position.
Space group Pm-3m (No. 221)
Symmetry-distinct sites (fractional):
Rb 0.0000 0.0000 0.0000 (multiplicity 1)  12 Tl 4.10
Tl 0.0000 0.5000 0.5000 (multiplicity 3)  2 Ge 2.90
Ge 0.5000 0.5000 0.5000 (multiplicity 1)  6 Tl 2.90


Ac2Pr4Er5 after structural relaxation. Source: the Alexandria database, functional PBE.

## Properties
Formation energy from the elements = 47 meV per atom
Uncorrected energy = -4.512 eV per atom
Density of states at the Fermi level = 31.8 states/eV/cell

a b c (Å): 24.3425 3.7484 9.0977
angles (deg): 90.00 111.28 90.00
Closest atoms and distances in Å follow each position.
Space group C2/m (No. 12)
Symmetry-distinct sites (fractional):
Ac 0.1089 0.0000 0.4468 (multiplicity 4)  6 Er 3.65-3.97, 2 Ac 3.75, 5 Pr 3.77-3.90
Pr 0.0416 0.5000 0.7176 (multiplicity 4)  3 Er 3.49-3.61, 5 Pr 3.74-3.75, 4 Ac 3.90
Pr 0.1841 0.0000 0.8888 (multiplicity 4)  5 Er 3.49-3.79, 6 Pr 3.63-3.75, 1 Ac 3.77
Er 0.0000 0.0000 0.0000 (multiplicity 2)  6 Er 3.42-3.75, 4 Pr 3.61
Er 0.1259 0.5000 0.1211 (multiplicity 4)  6 Er 3.42-3.75, 3 Pr 3.49, 2 Ac 3.65
Er 0.2482 0.0000 0.3356 (multiplicity 4)  6 Er 3.46-3.75, 3 Pr 3.58-3.79, 3 Ac 3.81-3.87


Tb2YThSc4 after structural relaxation. Source: the Alexandria database, functional PBE.

## Properties
Formation energy from the elements = 43 meV per atom
Uncorrected energy = -6.016 eV per atom
Density of states at the Fermi level = 12.0 states/eV/cell

a b c (Å): 4.9595 4.9595 9.1455
angles (deg): 90.00 90.00 90.00
Closest atoms and distances in Å follow each position.
Space group P4/mmm (No. 123)
Symmetry-distinct sites (fractional):
Tb 0.0000 0.0000 0.0000 (multiplicity 1)  8 Sc 3.35, 4 Th 3.51
Tb 0.5000 0.5000 0.5000 (multiplicity 1)  8 Sc 3.40, 4 Y 3.51
Y 0.0000 0.0000 0.5000 (multiplicity 1)  8 Sc 3.40, 4 Tb 3.51
Th 0.5000 0.5000 0.0000 (multiplicity 1)  8 Sc 3.35, 4 Tb 3.51
Sc 0.0000 0.5000 0.2463 (multiplicity 4)  4 Tb 3.35-3.40, 2 Th 3.35, 2 Y 3.40, 4 Sc 3.51


ErHg2 after structural relaxation. Source: the Alexandria database, functional PBE.

## Properties
Formation energy from the elements = -158 meV per atom
Uncorrected energy = -1.880 eV per atom
Density of states at the Fermi level = 22.8 states/eV/cell

a b c (Å): 8.3798 8.3798 8.3798
angles (deg): 90.00 90.00 90.00
Closest atoms and distances in Å follow each position.
Space group Fd-3m (No. 227, origin choice 2)
Symmetry-distinct sites (fractional):
Er 0.1250 0.1250 0.1250 (multiplicity 8)  12 Hg 3.47, 4 Er 3.63
Hg 0.0000 0.0000 0.5000 (multiplicity 16)  6 Hg 2.96


Gd2TmSn after structural relaxation. Source: the Alexandria database, functional PBE.

## Properties
Formation energy from the elements = -275 meV per atom
Uncorrected energy = -9.434 eV per atom
Density of states at the Fermi level = 15.0 states/eV/cell
Relative energy among the computed polymorphs = 159 meV per atom

a b c (Å): 7.6668 7.6668 7.6668
angles (deg): 90.00 90.00 90.00
Closest atoms and distances in Å follow each position.
Space group Fm-3m (No. 225)
Symmetry-distinct sites (fractional):
Gd 0.2500 0.2500 0.2500 (multiplicity 8)  4 Sn 3.32, 4 Tm 3.32
Tm 0.0000 0.0000 0.0000 (multiplicity 4)  8 Gd 3.32
Sn 0.0000 0.0000 0.5000 (multiplicity 4)  8 Gd 3.32


KTlS2 after structural relaxation. Source: the Alexandria database, functional PBE.

## Properties
Uncorrected energy = -3.503 eV per atom
Density of states at the Fermi level = 0.0 states/eV/cell
Relative energy among the computed polymorphs = 57 meV per atom

a b c (Å): 4.5510 8.3233 8.4815
angles (deg): 115.30 92.59 105.31
Closest atoms and distances in Å follow each position.
Space group P1 (No. 1)
Symmetry-distinct sites (fractional):
K 0.0000 0.0000 0.0000 (multiplicity 1)  4 S 3.22-3.28
K 0.2718 0.5460 0.9854 (multiplicity 1)  6 S 3.09-3.37
Tl 0.4996 0.9682 0.5599 (multiplicity 1)  3 S 2.84-3.12
Tl 0.6991 0.4761 0.5845 (multiplicity 1)  3 S 2.91-2.99
S 0.3414 0.7322 0.7259 (multiplicity 1)  3 Tl 2.84-2.96, 1 K 3.17
S 0.6440 0.2931 0.0175 (multiplicity 1)  1 S 2.09
S 0.8786 0.5126 0.2641 (multiplicity 1)  2 S 2.09-2.10
S 0.8795 0.7742 0.2860 (multiplicity 1)  1 S 2.10


TePb2Se after structural relaxation. Source: the Alexandria database, functional PBE.

## Properties
Uncorrected energy = -3.931 eV per atom
Relative energy among the computed polymorphs = 60 meV per atom

a b c (Å): 12.5825 4.4289 4.7236
angles (deg): 90.00 90.34 90.00
Closest atoms and distances in Å follow each position.
Space group Cm (No. 8)
Symmetry-distinct sites (fractional):
Te 0.0000 0.0000 0.0000 (multiplicity 2)  5 Pb 3.08-3.31
Pb 0.0125 0.5000 0.4815 (multiplicity 2)  1 Se 2.83
Pb 0.2438 0.0000 0.9373 (multiplicity 2)  2 Se 3.00, 1 Te 3.08
Se 0.2376 0.5000 0.5082 (multiplicity 2)  3 Pb 2.83-3.00


TbSmLu2 after structural relaxation. Source: the Alexandria database, functional PBE.

## Properties
Formation energy from the elements = 100 meV per atom
Uncorrected energy = -4.498 eV per atom
Density of states at the Fermi level = 24.1 states/eV/cell
Relative energy among the computed polymorphs = 72 meV per atom

a b c (Å): 7.9498 7.9498 7.9498
angles (deg): 90.00 90.00 90.00
Closest atoms and distances in Å follow each position.
Space group Fm-3m (No. 225)
Symmetry-distinct sites (fractional):
Tb 0.0000 0.0000 0.0000 (multiplicity 4)  8 Lu 3.44
Sm 0.0000 0.0000 0.5000 (multiplicity 4)  8 Lu 3.44
Lu 0.2500 0.2500 0.2500 (multiplicity 8)  4 Tb 3.44, 4 Sm 3.44


ZnB2Au after structural relaxation. Source: the Alexandria database, functional PBE.

## Properties
Formation energy from the elements = 1257 meV per atom
Uncorrected energy = -3.219 eV per atom
Density of states at the Fermi level = 9.2 states/eV/cell
Relative energy among the computed polymorphs = 208 meV per atom

a b c (Å): 5.7556 5.7556 5.7556
angles (deg): 90.00 90.00 90.00
Closest atoms and distances in Å follow each position.
Space group Fm-3m (No. 225)
Symmetry-distinct sites (fractional):
Zn 0.0000 0.0000 0.0000 (multiplicity 4)  8 B 2.49
B 0.2500 0.2500 0.2500 (multiplicity 8)  4 Zn 2.49, 4 Au 2.49
Au 0.0000 0.0000 0.5000 (multiplicity 4)  8 B 2.49


TlCu4Ge after structural relaxation. Source: the Alexandria database, functional PBE.

## Properties
Formation energy from the elements = 200 meV per atom
Uncorrected energy = -3.695 eV per atom
Density of states at the Fermi level = 16.3 states/eV/cell

a b c (Å): 7.1580 7.1580 7.1580
angles (deg): 90.00 90.00 90.00
Closest atoms and distances in Å follow each position.
Space group F-43m (No. 216)
Symmetry-distinct sites (fractional):
Tl 0.0000 0.0000 0.0000 (multiplicity 4)  12 Cu 2.97, 4 Ge 3.10
Cu 0.1248 0.1248 0.3752 (multiplicity 16)  6 Cu 2.53-2.54
Ge 0.2500 0.2500 0.7500 (multiplicity 4)  12 Cu 2.97, 4 Tl 3.10


CrRu2 after structural relaxation. Source: the Alexandria database, functional PBE.

## Properties
Formation energy from the elements = 39 meV per atom
Uncorrected energy = -9.352 eV per atom
Density of states at the Fermi level = 12.8 states/eV/cell

a b c (Å): 9.6671 2.6978 6.2793
angles (deg): 90.00 103.64 90.00
Closest atoms and distances in Å follow each position.
Space group Cm (No. 8)
Symmetry-distinct sites (fractional):
Cr 0.0000 0.0000 0.0000 (multiplicity 2)  8 Ru 2.59-2.67, 4 Cr 2.67-2.70
Cr 0.1684 0.5000 0.3281 (multiplicity 2)  8 Ru 2.54-2.72, 4 Cr 2.67-2.70
Ru 0.0579 0.0000 0.6065 (multiplicity 2)  9 Ru 2.62-2.70, 3 Cr 2.63-2.66
Ru 0.2183 0.5000 0.9493 (multiplicity 2)  4 Cr 2.54-2.67, 8 Ru 2.67-2.70
Ru 0.3355 0.0000 0.6692 (multiplicity 2)  8 Ru 2.62-2.70, 4 Cr 2.67-2.72
Ru 0.3908 0.0000 0.2741 (multiplicity 2)  5 Cr 2.60-2.63, 7 Ru 2.66-2.70


Which value of uncorrected energy does entry 3 give?
-4.512 eV per atom


uncorrected energy of number 11 (TlCu4Ge)?
-3.695 eV per atom


Look up the uncorrected energy of the first one.
-5.891 eV per atom


The highest uncorrected energy belongs to which entry?
ErHg2